Pm2GdGa: relaxed, PBE.

abc: 4.8231 4.8231 4.7835
angles: 90.00 90.00 90.00
Closest atoms and distances in Å follow each position.
Sites, in units of the cell vectors:
Pm 0.0000 0.5000 0.0000  4 Ga 3.40, 4 Gd 3.40, 4 Pm 3.41
Pm 0.5000 0.0000 0.0000  4 Ga 3.40, 4 Gd 3.40, 4 Pm 3.41
Gd 0.0000 0.0000 0.5000  8 Pm 3.40, 4 Ga 3.41
Ga 0.5000 0.5000 0.5000  8 Pm 3.40, 4 Gd 3.41

- Space group: P4/mmm, No. 123
- Energy of formation: -0.25 eV per atom
- VASP energy: -6.9046 eV/atom

=====

RbSc3Pd: relaxed, PBE.

abc: 5.3027 5.3027 5.3027
angles: 90.00 90.00 90.00
Closest atoms and distances in Å follow each position.
Sites, in units of the cell vectors:
Rb 0.0000 0.0000 0.0000  12 Sc 3.75
Sc 0.0000 0.5000 0.5000  2 Pd 2.65
Sc 0.5000 0.0000 0.5000  2 Pd 2.65
Sc 0.5000 0.5000 0.0000  2 Pd 2.65
Pd 0.5000 0.5000 0.5000  6 Sc 2.65

- Space group: Pm-3m, No. 221
- Energy of formation: 0.14 eV per atom
- VASP energy: -4.8897 eV/atom

=====

KGa2IrAu: relaxed, PBE.

abc: 4.7894 4.7894 5.4511
angles: 90.00 90.00 90.00
Closest atoms and distances in Å follow each position.
Sites, in units of the cell vectors:
K 0.0000 0.0000 0.0000  4 Au 3.39, 8 Ga 3.63
Ga 0.0000 0.5000 0.5000  2 Ir 2.39
Ga 0.5000 0.0000 0.5000  2 Ir 2.39
Ir 0.5000 0.5000 0.5000  4 Ga 2.39
Au 0.5000 0.5000 0.0000  2 Ir 2.73

- Space group: P4/mmm, No. 123
- Energy of formation: -0.26 eV per atom
- VASP energy: -4.1210 eV/atom

=====

Na2BiO: relaxed, PBE.

abc: 5.0074 5.0074 5.0074
angles: 60.00 60.00 60.00
Closest atoms and distances in Å follow each position.
Sites, in units of the cell vectors:
Na 0.2500 0.2500 0.2500  4 O 3.07, 4 Bi 3.07
Na 0.7500 0.7500 0.7500  4 O 3.07, 4 Bi 3.07
Bi 0.0000 0.0000 0.0000  8 Na 3.07
O 0.5000 0.5000 0.5000  8 Na 3.07

- Space group: Fm-3m, No. 225
- VASP energy: -2.8318 eV/atom
- E_form (uncorrected): 0.038 eV/atom

=====

BaMgRhI2: relaxed, PBE.

abc: 6.5832 6.5832 7.6894
angles: 90.00 90.00 90.00
Closest atoms and distances in Å follow each position.
Sites, in units of the cell vectors:
Ba 0.0000 0.0000 0.0000  4 I 3.29
Mg 0.0000 0.0000 0.5000  2 Ba 3.84
Rh 0.5000 0.5000 0.5000  4 Mg 4.66, 8 I 5.06
I 0.0000 0.5000 0.0000  2 Ba 3.29
I 0.5000 0.0000 0.0000  2 Ba 3.29

- Space group: P4/mmm, No. 123
- VASP energy: -2.3317 eV/atom
- E_form (uncorrected): 0.462 eV/atom

=====

Ac8SiPt3I3: relaxed, PBE.

abc: 9.0690 9.0690 9.7536
angles: 117.72 117.72 60.02
Closest atoms and distances in Å follow each position.
Sites, in units of the cell vectors:
Ac 0.2197 0.7386 0.6969  2 Pt 3.04, 1 Si 3.16
Ac 0.2307 0.2307 0.6924  3 Pt 3.06
Ac 0.2612 0.2612 0.3030  2 Pt 3.04, 1 Si 3.16
Ac 0.2614 0.7803 0.3031  2 Pt 3.04, 1 Si 3.16
Ac 0.7386 0.2197 0.6969  2 Pt 3.04, 1 Si 3.16
Ac 0.7388 0.7388 0.6970  2 Pt 3.04, 1 Si 3.16
Ac 0.7693 0.7693 0.3076  3 Pt 3.06
Ac 0.7803 0.2614 0.3031  2 Pt 3.04, 1 Si 3.16
Si 0.5000 0.5000 0.5000  6 Ac 3.16
Pt 0.0000 0.0000 0.5000  6 Ac 3.04-3.06
Pt 0.0000 0.5000 0.5000  6 Ac 3.04-3.06
Pt 0.5000 0.0000 0.5000  6 Ac 3.04-3.06
I 0.0000 0.5000 0.0000  6 Ac 3.64-3.65
I 0.5000 0.0000 0.0000  6 Ac 3.64-3.65
I 0.5000 0.5000 0.0000  6 Ac 3.64-3.65

- Space group: C2/m, No. 12
- VASP energy: -5.0504 eV/atom
- E_form (uncorrected): -0.980 eV/atom

=====

Pm2Tm12Th5: relaxed, PBE.

abc: 9.9233 9.9233 10.0816
angles: 111.80 111.80 41.58
Closest atoms and distances in Å follow each position.
Sites, in units of the cell vectors:
Pm 0.2110 0.7890 0.0000  1 Pm 2.97, 2 Tm 3.00
Pm 0.7890 0.2110 0.0000  1 Pm 2.97, 2 Tm 3.00
Tm 0.0017 0.0017 0.3280  7 Tm 3.34-3.72, 2 Pm 3.61
Tm 0.0869 0.5836 0.4889  6 Tm 3.26-3.60, 4 Th 3.48-3.65
Tm 0.0967 0.5881 0.1377  6 Tm 3.34-3.60, 2 Th 3.52-3.55, 1 Pm 3.71
Tm 0.4119 0.9033 0.8623  6 Tm 3.34-3.60, 2 Th 3.52-3.55, 1 Pm 3.71
Tm 0.4164 0.9131 0.5111  6 Tm 3.26-3.60, 4 Th 3.48-3.65
Tm 0.4743 0.4743 0.7669  2 Th 2.91-3.25, 2 Pm 3.00
Tm 0.5257 0.5257 0.2331  2 Th 2.91-3.25, 2 Pm 3.00
Tm 0.5836 0.0869 0.4889  6 Tm 3.26-3.60, 4 Th 3.48-3.65
Tm 0.5881 0.0967 0.1377  6 Tm 3.34-3.60, 2 Th 3.52-3.55, 1 Pm 3.71
Tm 0.9033 0.4119 0.8623  6 Tm 3.34-3.60, 2 Th 3.52-3.55, 1 Pm 3.71
Tm 0.9131 0.4164 0.5111  6 Tm 3.26-3.60, 4 Th 3.48-3.65
Tm 0.9983 0.9983 0.6720  7 Tm 3.34-3.72, 2 Pm 3.61
Th 0.1831 0.1831 0.2118  2 Th 3.54, 2 Pm 3.54, 8 Tm 3.55-3.81
Th 0.3111 0.3111 0.8151  5 Tm 3.25-3.55, 2 Th 3.54
Th 0.5000 0.5000 0.5000  2 Tm 2.91
Th 0.6889 0.6889 0.1849  5 Tm 3.25-3.55, 2 Th 3.54
Th 0.8169 0.8169 0.7882  2 Th 3.54, 2 Pm 3.54, 8 Tm 3.55-3.81

- Space group: C2/m, No. 12
- Energy of formation: 0.22 eV per atom
- VASP energy: -5.0602 eV/atom

=====

BaTiCd: relaxed, PBE.

abc: 4.7052 6.1015 6.8618
angles: 86.95 70.01 90.00
Closest atoms and distances in Å follow each position.
Sites, in units of the cell vectors:
Ba 0.0000 0.0000 0.0000  2 Ti 3.28-3.58, 1 Cd 3.55
Ba 0.4213 0.4836 0.1572  5 Cd 3.47-3.86, 3 Ti 3.60-3.79
Ti 0.2506 0.9294 0.4988  2 Ti 2.56-2.57, 1 Cd 2.83
Ti 0.7393 0.7625 0.5206  2 Ti 2.56-2.57
Cd 0.1531 0.5026 0.6935  3 Ti 2.83-3.02, 2 Cd 3.01
Cd 0.7106 0.2262 0.5786  3 Ti 2.87-3.03, 2 Cd 3.01

- Space group: P1, No. 1
- Energy of formation: 0.23 eV per atom
- VASP energy: -3.3470 eV/atom